## KH2I (GGA-PBE)

Data for a relaxed KH2I crystal.

```
KH2I
1.0
0.0000 3.6154 3.6154
3.6154 0.0000 3.6154
3.6154 3.6154 0.0000
K H I
1 2 1
Direct
0.0000 0.0000 0.0000 K
0.2500 0.2500 0.2500 H
0.7500 0.7500 0.7500 H
0.5000 0.5000 0.5000 I
```

E above lowest polymorph   4.340 eV per formula unit
Electronic total energy   -1.982 eV/atom